Computed, not measured: a PBEsol-optimized structure of NaBeAs2Br at the SCAN level of DFT.

Results
Magnetic moment: 0.30 μB per atom
Symmetry: P4/mmm (123)
Raw formation energy: 1214 meV per atom
DOS at the Fermi energy: 3.01 states/eV/cell

Cell: 5.028 5.028 5.029 Å, 90.00 90.00 90.00°
Element x y z (fractional)
Na: 0.000 0.000 0.000
Be: 0.500 0.500 0.500
As: 0.000 0.500 0.000
As: 0.500 0.000 0.000
Br: 0.000 0.000 0.500

***

Computed, not measured: a PBEsol-optimized structure of CuAg3 at the SCAN level of DFT.

Results
Magnetic moment: 0.00 μB per atom
Symmetry: Imm2 (44)
DOS at the Fermi energy: 1.15 states/eV/cell
Energy of formation: 0.4 eV/f.u.

Cell: 5.369 5.369 5.369 Å, 149.78 62.25 126.98°
Element x y z (fractional)
Cu: 0.000 0.000 0.000
Ag: 0.384 0.645 0.739
Ag: 0.514 0.014 0.500
Ag: 0.907 0.645 0.261